BeReHg3: optimized geometry, GGA-PBEsol.

abc: 5.234 5.234 5.234
angles: 90.00 90.00 90.00
Positions (direct):
Be 0.000 0.000 0.000
Re 0.500 0.500 0.500
Hg 0.000 0.500 0.500
Hg 0.500 0.000 0.500
Hg 0.500 0.500 0.000

Summary:
Spin magnetization = 2.357 μB/cell
E_form = 1552 meV per atom
Total energy = -2.25 eV/atom
ρ = 9230 kg/m³

=====

Zn4Hg: optimized geometry, GGA-PBEsol.

abc: 4.885 4.885 4.885
angles: 99.48 99.48 132.12
Positions (direct):
Zn 0.094 0.311 0.404
Zn 0.311 0.906 0.217
Zn 0.689 0.094 0.783
Zn 0.906 0.689 0.596
Hg 0.500 0.500 0.000

Summary:
Spin magnetization = 0.000 μB/cell
E_form = 75 meV per atom
Total energy = -1.30 eV/atom
ρ = 9714 kg/m³

=====

KSbMoO5: optimized geometry, GGA-PBEsol.

abc: 9.110 11.484 5.691
angles: 90.00 108.05 90.00
Positions (direct):
K 0.108 0.145 0.044
K 0.108 0.355 0.544
K 0.892 0.645 0.456
K 0.892 0.855 0.956
Sb 0.464 0.167 0.790
Sb 0.464 0.333 0.290
Sb 0.536 0.667 0.710
Sb 0.536 0.833 0.210
Mo 0.216 0.588 0.072
Mo 0.216 0.912 0.572
Mo 0.784 0.088 0.428
Mo 0.784 0.412 0.928
O 0.059 0.651 0.135
O 0.059 0.849 0.635
O 0.170 0.567 0.756
O 0.170 0.933 0.256
O 0.264 0.051 0.728
O 0.264 0.449 0.228
O 0.349 0.236 0.463
O 0.349 0.264 0.963
O 0.385 0.679 0.177
O 0.385 0.821 0.677
O 0.615 0.179 0.323
O 0.615 0.321 0.823
O 0.651 0.736 0.037
O 0.651 0.764 0.537
O 0.736 0.551 0.772
O 0.736 0.949 0.272
O 0.830 0.067 0.744
O 0.830 0.433 0.244
O 0.941 0.151 0.365
O 0.941 0.349 0.865

Summary:
Spin magnetization = 0.000 μB/cell
Total energy = -7.33 eV/atom
ρ = 3952 kg/m³

=====

IrRuPb2: optimized geometry, GGA-PBEsol.

abc: 5.405 5.405 5.122
angles: 106.06 106.06 32.07
Positions (direct):
Ir 0.000 0.000 0.000
Ru 0.314 0.314 0.670
Pb 0.558 0.558 0.530
Pb 0.761 0.761 0.154

Summary:
Spin magnetization = 0.000 μB/cell
E_form = 546 meV per atom
Total energy = -6.45 eV/atom
ρ = 15447 kg/m³

=====

LiZnCu4: optimized geometry, GGA-PBEsol.

abc: 4.772 4.772 4.772
angles: 60.00 60.00 60.00
Positions (direct):
Li 0.000 0.000 0.000
Zn 0.250 0.250 0.250
Cu 0.125 0.625 0.625
Cu 0.625 0.125 0.625
Cu 0.625 0.625 0.125
Cu 0.625 0.625 0.625

Summary:
Spin magnetization = 0.000 μB/cell
E_form = -14 meV per atom
Total energy = -3.50 eV/atom
ρ = 7058 kg/m³

=====

SrTeP2Au: optimized geometry, GGA-PBEsol.

abc: 4.826 4.826 5.573
angles: 90.00 90.00 90.00
Positions (direct):
Sr 0.000 0.000 0.000
Te 0.500 0.500 0.000
P 0.000 0.500 0.500
P 0.500 0.000 0.500
Au 0.500 0.500 0.500

Summary:
Spin magnetization = 0.001 μB/cell
Total energy = -4.15 eV/atom
ρ = 6065 kg/m³

=====

PRhO3: optimized geometry, GGA-PBEsol.

abc: 3.573 3.573 3.573
angles: 90.00 90.00 90.00
Positions (direct):
P 0.000 0.000 0.000
Rh 0.500 0.500 0.500
O 0.000 0.000 0.500
O 0.000 0.500 0.000
O 0.500 0.000 0.000

Summary:
Spin magnetization = 2.521 μB/cell
Total energy = -6.26 eV/atom
ρ = 6619 kg/m³

=====

FeRe3O: optimized geometry, GGA-PBEsol.

abc: 3.993 3.993 3.993
angles: 90.00 90.00 90.00
Positions (direct):
Fe 0.000 0.000 0.000
Re 0.000 0.500 0.500
Re 0.500 0.000 0.500
Re 0.500 0.500 0.000
O 0.500 0.500 0.500

Summary:
Spin magnetization = 1.942 μB/cell
Total energy = -10.39 eV/atom
ρ = 16447 kg/m³